# 1
Here is crystalline CsUAgO5 at its relaxed geometry from the Alexandria database. Energies are from PBE-GGA.

## Properties
As for the space group: C2/c (15). For the calculated total energy, the calculation gives -109.19 eV per cell. The uncorrected formation energy comes out at -1851 meV per atom. The value obtained for the density of states at the Fermi level is 0.022 states/eV per atom. As for the crystal system: monoclinic. The value obtained for the magnetization is 0.0 μB per formula unit.

```
CsUAgO5
1.0
4.485 -5.442 0.000
4.485 5.442 0.000
-3.293 0.000 5.477
Cs U Ag O
2 2 2 10
direct
0.093 0.907 0.750
0.907 0.093 0.250
0.000 0.500 0.000
0.500 0.000 0.500
0.451 0.549 0.750
0.549 0.451 0.250
0.163 0.515 0.791
0.175 0.825 0.250
0.233 0.404 0.191
0.404 0.233 0.691
0.485 0.837 0.709
0.515 0.163 0.291
0.596 0.767 0.309
0.767 0.596 0.809
0.825 0.175 0.750
0.837 0.485 0.209
```

# 2
Here is crystalline Cs2UAgO6 at its relaxed geometry from the Alexandria database. Energies are from PBE-GGA.

## Properties
As for the space group: C2/m (12). For the calculated total energy, the calculation gives -63.00 eV per cell. The uncorrected formation energy comes out at -1740 meV per atom. The value obtained for the density of states at the Fermi level is 0.649 states/eV per atom. As for the crystal system: monoclinic. The value obtained for the magnetization is 1.0 μB per formula unit.

```
Cs2UAgO6
1.0
6.257 -2.943 0.000
6.257 2.943 0.000
-2.760 0.000 5.200
Cs U Ag O
2 1 1 6
direct
0.250 0.250 0.249
0.750 0.750 0.751
0.000 0.000 0.500
0.500 0.500 0.000
0.173 0.173 0.673
0.256 0.744 0.244
0.256 0.744 0.756
0.744 0.256 0.244
0.744 0.256 0.756
0.827 0.827 0.327
```